The following is a DFT calculation (PBE-GGA) of crystalline DyCdH2Cl2O2 at its relaxed geometry.

```
DyCdH2Cl2O2
1.0
3.901 0.000 0.000
-1.951 3.378 0.000
0.000 0.000 10.204
Dy Cd H Cl O
1 1 2 2 2
Cartesian
0.000 0.000 0.000
0.000 2.252 4.940
1.951 1.126 1.505
1.951 1.126 6.522
0.000 0.000 2.604
0.000 2.252 8.503
1.951 1.126 0.514
1.951 1.126 5.536
```

- Total energy: -4.73 eV/atom

---

The following is a DFT calculation (PBE-GGA) of crystalline SrTbGe2 at its relaxed geometry.

```
SrTbGe2
1.0
3.391 0.000 0.000
0.000 6.001 0.000
0.000 0.000 11.919
Sr Tb Ge
2 2 4
Cartesian
0.000 0.000 0.000
0.000 3.001 5.960
0.000 0.000 8.315
0.000 3.001 2.356
0.000 0.000 3.063
0.000 0.000 5.524
0.000 3.001 9.023
0.000 3.001 11.483
```

- Total energy: -3.79 eV/atom

---

The following is a DFT calculation (PBE-GGA) of crystalline Cs2AgPbF6 at its relaxed geometry.

```
Cs2AgPbF6
1.0
5.530 -3.289 0.000
5.530 3.289 0.000
-3.548 0.000 5.210
Cs Ag Pb F
2 1 1 6
Cartesian
1.844 0.000 1.287
5.669 0.000 3.923
-1.774 0.000 2.605
5.530 0.000 0.000
0.094 0.000 3.907
4.631 1.642 1.320
2.882 1.642 3.890
4.631 -1.642 1.320
2.882 -1.642 3.890
7.419 0.000 1.302
```

- Energy relative to the lowest polymorph listed for this composition: 0.003 eV/atom